Record 1
The following is a DFT calculation (PBE-GGA) of a relaxed Cs4KCd2 crystal.

a = 7.405 Å, b = 7.405 Å, c = 11.086 Å
α = 70.49°, β = 70.49°, γ = 90.00°
Sites, in units of the cell vectors:
1 Cs 0.771 0.771 0.458
2 Cs 0.000 0.500 0.000
3 Cs 0.229 0.229 0.542
4 Cs 0.500 0.000 0.000
5 K 0.000 0.000 0.000
6 Cd 0.576 0.576 0.847
7 Cd 0.424 0.424 0.153

Output
Relative energy among the computed polymorphs (eV/atom): 0.119
Magnetization (μB per formula unit): 0.00
Fermi-level density of states (states/eV/cell): 6.3
Energy relative to the elements (eV/atom): 0.160

---

Record 2
The following is a DFT calculation (PBE-GGA) of a relaxed CsKCd crystal.

a = 4.683 Å, b = 4.683 Å, c = 8.648 Å
α = 105.71°, β = 105.71°, γ = 90.00°
Sites, in units of the cell vectors:
1 K 0.295 0.295 0.591
2 Cd 0.678 0.678 0.356
3 Cs 0.026 0.026 0.053

Output
Relative energy among the computed polymorphs (eV/atom): 0.048
Magnetization (μB per formula unit): 0.00
Fermi-level density of states (states/eV/cell): 2.3
Energy relative to the elements (eV/atom): 0.007

---

Record 3
The following is a DFT calculation (PBE-GGA) of a relaxed Cs4KCd crystal.

a = 8.654 Å, b = 13.050 Å, c = 11.543 Å
α = 116.19°, β = 100.83°, γ = 109.31°
Sites, in units of the cell vectors:
1 K 0.369 0.619 0.238
2 K 0.631 0.381 0.762
3 Cs 0.280 0.647 0.835
4 Cs 0.786 0.725 0.663
5 Cs 0.945 0.811 0.165
6 Cs 0.214 0.275 0.337
7 Cs 0.055 0.189 0.835
8 Cs 0.720 0.353 0.165
9 Cs 0.377 0.938 0.663
10 Cs 0.623 0.062 0.337
11 Cd 0.748 0.998 0.996
12 Cd 0.252 0.002 0.004

Output
Relative energy among the computed polymorphs (eV/atom): 0.017
Magnetization (μB per formula unit): 0.00
Fermi-level density of states (states/eV/cell): 10.1
Energy relative to the elements (eV/atom): 0.002

---

Record 4
The following is a DFT calculation (PBE-GGA) of a relaxed Cs4K3Cd2 crystal.

a = 5.666 Å, b = 11.197 Å, c = 11.458 Å
α = 112.23°, β = 104.32°, γ = 90.00°
Sites, in units of the cell vectors:
1 Cd 0.399 0.558 0.799
2 Cd 0.601 0.442 0.201
3 K 0.084 0.203 0.168
4 K 0.000 0.500 0.000
5 K 0.916 0.797 0.832
6 Cs 0.398 0.154 0.795
7 Cs 0.769 0.344 0.537
8 Cs 0.602 0.846 0.205
9 Cs 0.231 0.656 0.463

Output
Magnetization (μB per formula unit): 0.00
Fermi-level density of states (states/eV/cell): 7.3
Energy relative to the elements (eV/atom): -0.007

---

Record 5
The following is a DFT calculation (PBE-GGA) of a relaxed CsK2Cd crystal.

a = 5.890 Å, b = 5.890 Å, c = 15.156 Å
α = 78.80°, β = 78.80°, γ = 90.00°
Sites, in units of the cell vectors:
1 K 0.594 0.125 0.250
2 K 0.875 0.844 0.750
3 K 0.375 0.406 0.750
4 K 0.156 0.625 0.250
5 Cd 0.500 0.500 0.000
6 Cd 0.250 0.750 0.500
7 Cs 0.000 0.000 0.000
8 Cs 0.750 0.250 0.500

Output
Magnetization (μB per formula unit): 0.00
Fermi-level density of states (states/eV/cell): 5.6
Energy relative to the elements (eV/atom): 0.083

---

Record 6
The following is a DFT calculation (PBE-GGA) of a relaxed Cs6KCd2 crystal.

a = 12.287 Å, b = 12.287 Å, c = 12.287 Å
α = 106.15°, β = 111.27°, γ = 111.05°
Sites, in units of the cell vectors:
1 Cs 0.782 0.547 0.766
2 Cs 0.782 0.016 0.234
3 Cs 0.307 0.680 0.987
4 Cs 0.480 0.186 0.294
5 Cs 0.693 0.320 0.013
6 Cs 0.307 0.320 0.627
7 Cs 0.218 0.984 0.766
8 Cs 0.218 0.453 0.234
9 Cs 0.109 0.814 0.294
10 Cs 0.693 0.680 0.373
11 Cs 0.891 0.186 0.706
12 Cs 0.520 0.814 0.706
13 Cd 0.611 0.611 0.000
14 Cd 0.500 0.898 0.398
15 Cd 0.389 0.389 0.000
16 Cd 0.500 0.102 0.602
17 K 0.000 0.000 0.000
18 K 0.000 0.500 0.500

Output
Magnetization (μB per formula unit): 0.00
Fermi-level density of states (states/eV/cell): 14.7
Energy relative to the elements (eV/atom): -0.017

---

Record 7
The following is a DFT calculation (PBE-GGA) of a relaxed Cs12KCd6 crystal.

a = 12.213 Å, b = 12.213 Å, c = 12.213 Å
α = 109.47°, β = 109.47°, γ = 109.47°
Sites, in units of the cell vectors:
1 Cd 0.395 0.500 0.895
2 Cd 0.105 0.605 0.500
3 Cd 0.500 0.895 0.395
4 Cd 0.500 0.105 0.605
5 Cd 0.605 0.500 0.105
6 Cd 0.895 0.395 0.500
7 Cs 0.120 0.812 0.308
8 Cs 0.308 0.120 0.812
9 Cs 0.505 0.812 0.692
10 Cs 0.812 0.692 0.505
11 Cs 0.812 0.308 0.120
12 Cs 0.308 0.495 0.188
13 Cs 0.880 0.188 0.692
14 Cs 0.692 0.505 0.812
15 Cs 0.188 0.692 0.880
16 Cs 0.495 0.188 0.308
17 Cs 0.188 0.308 0.495
18 Cs 0.692 0.880 0.188
19 K 0.000 0.000 0.000

Output
Magnetization (μB per formula unit): 0.00
Fermi-level density of states (states/eV/cell): 15.7
Energy relative to the elements (eV/atom): -0.022

---

Record 8
The following is a DFT calculation (PBE-GGA) of a relaxed CsK2Cd crystal.

a = 4.699 Å, b = 4.699 Å, c = 16.059 Å
α = 81.59°, β = 81.59°, γ = 60.00°
Sites, in units of the cell vectors:
1 Cd 0.000 0.000 0.000
2 K 0.922 0.922 0.233
3 K 0.078 0.078 0.767
4 Cs 0.500 0.500 0.500

Output
Magnetization (μB per formula unit): 0.00
Fermi-level density of states (states/eV/cell): 4.2
Energy relative to the elements (eV/atom): 0.183

---

Record 9
The following is a DFT calculation (PBE-GGA) of a relaxed CsK2Cd crystal.

a = 10.057 Å, b = 10.057 Å, c = 5.483 Å
α = 90.00°, β = 90.00°, γ = 95.77°
Sites, in units of the cell vectors:
1 K 0.898 0.332 0.750
2 K 0.102 0.668 0.250
3 K 0.668 0.102 0.250
4 K 0.332 0.898 0.750
5 Cs 0.325 0.325 0.750
6 Cs 0.675 0.675 0.250
7 Cd 0.000 0.000 0.000
8 Cd 0.000 0.000 0.500

Output
Magnetization (μB per formula unit): 0.00
Fermi-level density of states (states/eV/cell): 6.0
Energy relative to the elements (eV/atom): 0.041

---

Record 10
The following is a DFT calculation (PBE-GGA) of a relaxed Cs4KCd2 crystal.

a = 4.968 Å, b = 9.428 Å, c = 14.285 Å
α = 118.61°, β = 90.00°, γ = 90.00°
Sites, in units of the cell vectors:
1 Cs 0.500 0.704 0.686
2 Cs 0.000 0.237 0.724
3 Cs 0.000 0.906 0.277
4 Cs 0.500 0.439 0.314
5 Cd 0.500 0.226 0.498
6 Cd 0.500 0.917 0.502
7 K 0.000 0.071 0.000

Output
Relative energy among the computed polymorphs (eV/atom): 0.000
Magnetization (μB per formula unit): 0.00
Fermi-level density of states (states/eV/cell): 5.2
Energy relative to the elements (eV/atom): 0.042

---

Record 11
The following is a DFT calculation (PBE-GGA) of a relaxed Cs3KCd crystal.

a = 5.339 Å, b = 12.074 Å, c = 12.880 Å
α = 92.93°, β = 90.00°, γ = 102.81°
Sites, in units of the cell vectors:
1 Cs 0.085 0.202 0.457
2 Cs 0.768 0.570 0.429
3 Cs 0.275 0.584 0.992
4 Cs 0.411 0.856 0.647
5 Cs 0.960 0.953 0.965
6 Cs 0.632 0.297 0.775
7 Cd 0.245 0.525 0.672
8 Cd 0.798 0.628 0.749
9 K 0.431 0.893 0.278
10 K 0.615 0.261 0.144

Output
Relative energy among the computed polymorphs (eV/atom): 0.000
Magnetization (μB per formula unit): 0.00
Fermi-level density of states (states/eV/cell): 8.6
Energy relative to the elements (eV/atom): -0.020

---

Record 12
The following is a DFT calculation (PBE-GGA) of a relaxed Cs7K4Cd crystal.

a = 7.626 Å, b = 9.057 Å, c = 17.949 Å
α = 101.02°, β = 90.00°, γ = 114.90°
Sites, in units of the cell vectors:
1 K 0.316 0.632 0.735
2 K 0.956 0.913 0.189
3 K 0.044 0.087 0.811
4 K 0.684 0.368 0.265
5 Cs 0.583 0.167 0.644
6 Cs 0.417 0.833 0.356
7 Cs 0.233 0.466 0.096
8 Cs 0.858 0.716 0.551
9 Cs 0.142 0.284 0.449
10 Cs 0.500 0.000 0.000
11 Cs 0.767 0.534 0.904
12 Cd 0.000 0.000 0.000

Output
Magnetization (μB per formula unit): 0.00
Fermi-level density of states (states/eV/cell): 11.6
Energy relative to the elements (eV/atom): 0.014

---

Record 13
The following is a DFT calculation (PBE-GGA) of a relaxed CsK6Cd crystal.

a = 4.622 Å, b = 11.312 Å, c = 11.312 Å
α = 109.91°, β = 90.00°, γ = 90.00°
Sites, in units of the cell vectors:
1 K 0.500 0.625 0.725
2 K 0.000 0.875 0.569
3 K 0.000 0.279 0.721
4 K 0.500 0.275 0.375
5 K 0.500 0.061 0.939
6 K 0.000 0.431 0.125
7 Cs 0.000 0.828 0.172
8 Cd 0.500 0.626 0.374

Output
Relative energy among the computed polymorphs (eV/atom): 0.009
Magnetization (μB per formula unit): 0.00
Fermi-level density of states (states/eV/cell): 6.0
Energy relative to the elements (eV/atom): 0.033

---

Record 14
The following is a DFT calculation (PBE-GGA) of a relaxed CsKCd crystal.

a = 6.455 Å, b = 6.455 Å, c = 6.455 Å
α = 60.00°, β = 60.00°, γ = 60.00°
Sites, in units of the cell vectors:
1 K 0.500 0.500 0.500
2 Cs 0.000 0.000 0.000
3 Cd 0.250 0.250 0.250

Output
Relative energy among the computed polymorphs (eV/atom): 0.069
Magnetization (μB per formula unit): 0.00
Fermi-level density of states (states/eV/cell): 0.8
Energy relative to the elements (eV/atom): 0.027

---

Record 15
The following is a DFT calculation (PBE-GGA) of a relaxed CsK5Cd2 crystal.

a = 5.901 Å, b = 9.527 Å, c = 9.527 Å
α = 74.14°, β = 71.92°, γ = 71.92°
Sites, in units of the cell vectors:
1 K 0.335 0.851 0.478
2 K 0.665 0.149 0.522
3 K 0.000 0.500 0.500
4 K 0.335 0.478 0.851
5 K 0.665 0.522 0.149
6 Cd 0.266 0.236 0.236
7 Cd 0.734 0.764 0.764
8 Cs 0.000 0.000 0.000

Output
Magnetization (μB per formula unit): 0.00
Fermi-level density of states (states/eV/cell): 5.5
Energy relative to the elements (eV/atom): -0.001

---

Record 16
The following is a DFT calculation (PBE-GGA) of a relaxed CsK6Cd crystal.

a = 9.008 Å, b = 9.008 Å, c = 9.089 Å
α = 110.40°, β = 110.40°, γ = 111.05°
Sites, in units of the cell vectors:
1 K 0.258 0.705 0.261
2 K 0.295 0.742 0.739
3 K 0.738 0.738 0.295
4 K 0.705 0.258 0.261
5 K 0.262 0.262 0.705
6 K 0.742 0.295 0.739
7 Cd 0.500 0.500 0.500
8 Cs 0.000 0.000 0.000

Output
Relative energy among the computed polymorphs (eV/atom): 0.000
Magnetization (μB per formula unit): 0.00
Fermi-level density of states (states/eV/cell): 6.9
Energy relative to the elements (eV/atom): 0.024

---

Record 17
The following is a DFT calculation (PBE-GGA) of a relaxed Cs2K9Cd3 crystal.

a = 11.756 Å, b = 11.756 Å, c = 15.762 Å
α = 89.76°, β = 110.09°, γ = 123.02°
Sites, in units of the cell vectors:
1 Cs 0.375 0.242 0.750
2 Cs 0.992 0.625 0.750
3 Cs 0.625 0.758 0.250
4 Cs 0.008 0.375 0.250
5 K 0.873 0.862 0.561
6 K 0.544 0.084 0.247
7 K 0.409 0.603 0.921
8 K 0.337 0.297 0.253
9 K 0.591 0.397 0.079
10 K 0.935 0.185 0.750
11 K 0.819 0.512 0.421
12 K 0.550 0.197 0.535
13 K 0.127 0.138 0.439
14 K 0.162 0.015 0.965
15 K 0.801 0.312 0.939
16 K 0.065 0.815 0.250
17 K 0.663 0.703 0.747
18 K 0.199 0.688 0.061
19 K 0.450 0.803 0.465
20 K 0.456 0.916 0.753
21 K 0.838 0.985 0.035
22 K 0.181 0.488 0.579
23 Cd 0.500 0.000 0.000
24 Cd 0.182 0.857 0.523
25 Cd 0.500 0.500 0.500
26 Cd 0.834 0.659 0.977
27 Cd 0.166 0.341 0.023
28 Cd 0.818 0.143 0.477

Output
Magnetization (μB per formula unit): 0.00
Fermi-level density of states (states/eV/cell): 18.1
Energy relative to the elements (eV/atom): 0.000

---

Record 18
The following is a DFT calculation (PBE-GGA) of a relaxed CsK2Cd4 crystal.

a = 7.386 Å, b = 7.781 Å, c = 10.794 Å
α = 111.13°, β = 94.52°, γ = 90.00°
Sites, in units of the cell vectors:
1 Cd 0.730 0.683 0.846
2 Cd 0.230 0.163 0.846
3 Cd 0.013 0.170 0.294
4 Cd 0.487 0.876 0.706
5 Cd 0.513 0.124 0.294
6 Cd 0.770 0.837 0.154
7 Cd 0.270 0.317 0.154
8 Cd 0.987 0.830 0.706
9 K 0.797 0.192 0.600
10 K 0.297 0.407 0.600
11 K 0.703 0.593 0.400
12 K 0.203 0.808 0.400
13 Cs 0.750 0.278 0.000
14 Cs 0.250 0.722 0.000

Output
Magnetization (μB per formula unit): 0.00
Fermi-level density of states (states/eV/cell): 7.0
Energy relative to the elements (eV/atom): -0.033

---

Record 19
The following is a DFT calculation (PBE-GGA) of a relaxed CsK12Cd5 crystal.

a = 10.944 Å, b = 10.944 Å, c = 10.944 Å
α = 113.38°, β = 113.82°, γ = 101.49°
Sites, in units of the cell vectors:
1 K 0.822 0.267 0.089
2 K 0.311 0.623 0.312
3 K 0.178 0.267 0.445
4 K 0.689 0.001 0.312
5 K 0.582 0.781 0.800
6 K 0.178 0.733 0.911
7 K 0.689 0.377 0.688
8 K 0.981 0.781 0.200
9 K 0.311 0.999 0.688
10 K 0.019 0.219 0.800
11 K 0.418 0.219 0.200
12 K 0.822 0.733 0.555
13 Cd 0.000 0.000 0.000
14 Cd 0.105 0.605 0.500
15 Cd 0.895 0.395 0.500
16 Cd 0.624 0.000 0.624
17 Cd 0.376 0.000 0.376
18 Cs 0.500 0.500 0.000

Output
Magnetization (μB per formula unit): 0.00
Fermi-level density of states (states/eV/cell): 12.7
Energy relative to the elements (eV/atom): -0.013

---

Record 20
The following is a DFT calculation (PBE-GGA) of a relaxed CsK2Cd3 crystal.

a = 5.469 Å, b = 10.783 Å, c = 11.281 Å
α = 118.55°, β = 90.00°, γ = 90.00°
Sites, in units of the cell vectors:
1 Cd 0.250 0.459 0.000
2 Cd 0.500 0.828 0.656
3 Cd 0.500 0.172 0.344
4 Cd 0.000 0.828 0.656
5 Cd 0.000 0.172 0.344
6 Cd 0.750 0.541 0.000
7 K 0.750 0.840 0.348
8 K 0.250 0.508 0.348
9 K 0.250 0.160 0.652
10 K 0.750 0.492 0.652
11 Cs 0.750 0.179 0.000
12 Cs 0.250 0.821 0.000

Output
Magnetization (μB per formula unit): 0.00
Fermi-level density of states (states/eV/cell): 9.5
Energy relative to the elements (eV/atom): -0.015